Material: La2YAlGa
Method: DFT, GGA-PBE
State: relaxed

a = 5.675 Å, b = 5.451 Å, c = 5.675 Å
α = 90.00°, β = 90.00°, γ = 90.00°
Element x y z (fractional)
Y (0.000, 0.500, 0.000)
Al (0.500, 0.500, 0.500)
Ga (0.000, 0.000, 0.000)
La (0.000, 0.000, 0.500)
La (0.500, 0.000, 0.000)

## Properties
* total magnetization: 0.0 μB per formula unit
* symmetry: P4/mmm
* density: 4383 kg/m³
* energy relative to the elements: 0.10 eV/atom
* N(E_F): 2.0851 states/eV per atom

Material: BeGe2Se
Method: DFT, GGA-PBE
State: relaxed

a = 5.526 Å, b = 5.526 Å, c = 6.827 Å
α = 66.13°, β = 66.13°, γ = 90.00°
Element x y z (fractional)
Be (0.500, 0.500, 0.000)
Be (0.250, 0.750, 0.500)
Ge (0.567, 0.125, 0.250)
Ge (0.183, 0.625, 0.250)
Ge (0.375, 0.433, 0.750)
Ge (0.875, 0.817, 0.750)
Se (0.000, 0.000, 0.000)
Se (0.750, 0.250, 0.500)

## Properties
* energy relative to the lowest polymorph listed for this composition: 0.00 kJ/mol of atoms
* uncorrected formation energy: 0.0917 eV/atom
* total magnetization: 0.0 μB per formula unit
* symmetry: I-42d
* density: 4532 kg/m³
* N(E_F): 0.0032 states/eV per atom

Material: CeYHgSb
Method: DFT, GGA-PBE
State: relaxed

a = 5.363 Å, b = 5.363 Å, c = 5.363 Å
α = 60.00°, β = 60.00°, γ = 60.00°
Each line ends with the local moment (μB).
Element x y z (fractional)
Y (0.750, 0.750, 0.750)  0.21
Sb (0.000, 0.000, 0.000)  0.00
Hg (0.500, 0.500, 0.500)  0.02
Ce (0.250, 0.250, 0.250)  0.96

## Properties
* uncorrected formation energy: -0.6004 eV/atom
* total magnetization: 1.7 μB per formula unit
* symmetry: F-43m
* density: 8395 kg/m³
* N(E_F): 2.3763 states/eV per atom